Record 1
## Y2TmRh (GGA-PBE)

Data for a relaxed structure of Y2TmRh.

Values from the calculation:
Total moment = 0.00 μB/cell
Raw total energy = -6.683 eV/atom
Theoretical density = 7.017 Mg/m³
Fermi-level density of states = 1.1745 states/eV/atom
Space group = Cmcm (63)

abc: 3.8024 6.2693 9.3695
angles: 90.00 90.00 107.66
Fractional positions:
Y (0.1379, 0.2756, 0.4327)
Y (0.8621, 0.7244, 0.5673)
Y (0.8621, 0.7244, 0.9327)
Y (0.1379, 0.2756, 0.0673)
Tm (0.4223, 0.8447, 0.2500)
Tm (0.5777, 0.1553, 0.7500)
Rh (0.7503, 0.5009, 0.2500)
Rh (0.2497, 0.4991, 0.7500)

Record 2
## LaPuBeN3 (GGA-PBE)

Data for a relaxed structure of LaPuBeN3.

Values from the calculation:
Total moment = 7.95 μB/cell
Raw total energy = -9.173 eV/atom
Theoretical density = 8.500 Mg/m³
Fermi-level density of states = 1.2404 states/eV/atom
Space group = P2_1/m (11)
Formation energy (no corrections) = -1.179 eV per atom

abc: 3.3920 7.2628 7.0291
angles: 101.74 90.00 90.00
Site moments in Bohr magnetons follow the coordinates.
Fractional positions:
La (0.7500, 0.8222, 0.7801)  0.07
La (0.2500, 0.1778, 0.2199)  0.07
Pu (0.2500, 0.6596, 0.1790)  4.20
Pu (0.7500, 0.3404, 0.8210)  4.20
Be (0.2500, 0.0742, 0.5995)  0.00
Be (0.7500, 0.9258, 0.4005)  0.00
N (0.2500, 0.8439, 0.4870)  -0.07
N (0.7500, 0.8753, 0.1517)  -0.12
N (0.7500, 0.4289, 0.1452)  -0.19
N (0.7500, 0.1561, 0.5130)  -0.07
N (0.2500, 0.5711, 0.8548)  -0.19
N (0.2500, 0.1247, 0.8483)  -0.12

Record 3
## SmEr5Th5 (GGA-PBE)

Data for a relaxed structure of SmEr5Th5.

Values from the calculation:
Total moment = 0.00 μB/cell
Raw total energy = -5.499 eV/atom
Theoretical density = 9.319 Mg/m³
Fermi-level density of states = 1.5645 states/eV/atom
Space group = P-6m2 (187)

abc: 6.2958 6.2958 11.1443
angles: 90.00 90.00 120.00
Fractional positions:
Sm (0.3333, 0.6667, 0.0000)
Er (0.6667, 0.3333, 0.1830)
Er (0.6667, 0.3333, 0.8170)
Er (0.3333, 0.6667, 0.3307)
Er (0.3333, 0.6667, 0.6693)
Er (0.0000, 0.0000, 0.0000)
Th (0.3465, 0.1732, 0.5000)
Th (0.0000, 0.0000, 0.2688)
Th (0.8268, 0.6535, 0.5000)
Th (0.8268, 0.1732, 0.5000)
Th (0.0000, 0.0000, 0.7312)

Record 4
## Al2ReBi (GGA-PBE)

Data for a relaxed structure of Al2ReBi.

Values from the calculation:
Total moment = 0.21 μB/cell
Raw total energy = -5.224 eV/atom
Theoretical density = 8.745 Mg/m³
Fermi-level density of states = 1.0271 states/eV/atom
Space group = I-42d (122)

abc: 7.9188 7.9188 6.2252
angles: 50.50 50.50 90.00
Site moments in Bohr magnetons follow the coordinates.
Fractional positions:
Re (0.5000, 0.5000, 0.0000)  0.09
Re (0.2500, 0.7500, 0.5000)  0.09
Bi (0.0000, 0.0000, 0.0000)  0.01
Bi (0.7500, 0.2500, 0.5000)  0.00
Al (0.5638, 0.1250, 0.2500)  0.00
Al (0.1862, 0.6250, 0.2500)  0.00
Al (0.3750, 0.4362, 0.7500)  0.00
Al (0.8750, 0.8138, 0.7500)  0.00

Record 5
## Pr2AgBi (GGA-PBE)

Data for a relaxed structure of Pr2AgBi.

Values from the calculation:
Total moment = 0.01 μB/cell
Raw total energy = -4.513 eV/atom
Theoretical density = 7.473 Mg/m³
Fermi-level density of states = 1.4038 states/eV/atom
Space group = R-3m (166)

abc: 4.5880 4.5880 7.7628
angles: 72.81 72.81 60.00
Fractional positions:
Pr (0.2526, 0.2526, 0.2423)
Pr (0.7474, 0.7474, 0.7577)
Bi (0.5000, 0.5000, 0.5000)
Ag (0.0000, 0.0000, 0.0000)

Record 6
## LiScSn2Te4 (GGA-PBE)

Data for a relaxed structure of LiScSn2Te4.

Values from the calculation:
Total moment = 0.00 μB/cell
Raw total energy = -4.276 eV/atom
Theoretical density = 5.632 Mg/m³
Fermi-level density of states = 0.0350 states/eV/atom
Space group = P2/m (10)
Formation energy (no corrections) = -0.674 eV per atom

abc: 4.3475 7.6283 7.5103
angles: 71.22 90.00 90.00
Fractional positions:
Li (0.5000, 0.5000, 0.0000)
Sc (0.0000, 0.5000, 0.5000)
Sn (0.0000, 0.0000, 0.0000)
Sn (0.5000, 0.0000, 0.5000)
Te (0.0000, 0.7280, 0.7504)
Te (0.0000, 0.2720, 0.2496)
Te (0.5000, 0.7282, 0.2609)
Te (0.5000, 0.2718, 0.7391)

Record 7
## Na2MgTa2 (GGA-PBE)

Data for a relaxed structure of Na2MgTa2.

Values from the calculation:
Total moment = 0.00 μB/cell
Raw total energy = -4.495 eV/atom
Theoretical density = 5.963 Mg/m³
Fermi-level density of states = 0.9853 states/eV/atom
Space group = P4/mbm (127)

abc: 9.1928 9.1928 2.8483
angles: 90.00 90.00 90.00
Fractional positions:
Na (0.3051, 0.8051, 0.0000)
Na (0.8051, 0.6949, 0.0000)
Na (0.6949, 0.1949, 0.0000)
Na (0.1949, 0.3051, 0.0000)
Mg (0.0000, 0.0000, 0.0000)
Mg (0.5000, 0.5000, 0.0000)
Ta (0.0968, 0.5968, 0.5000)
Ta (0.5968, 0.9032, 0.5000)
Ta (0.9032, 0.4032, 0.5000)
Ta (0.4032, 0.0968, 0.5000)

Record 8
## LiLaTl2F6 (GGA-PBE)

Data for a relaxed structure of LiLaTl2F6.

Values from the calculation:
Total moment = 0.00 μB/cell
Raw total energy = -5.171 eV/atom
Theoretical density = 6.309 Mg/m³
Fermi-level density of states = 0.0000 states/eV/atom
Space group = P-1 (2)
Formation energy (no corrections) = -2.890 eV per atom

abc: 6.2236 6.3737 6.3852
angles: 119.97 121.06 90.16
Fractional positions:
Li (0.9999, 0.0003, 0.9998)
La (0.5000, 0.5005, 0.9999)
Tl (0.7149, 0.2410, 0.4789)
Tl (0.2851, 0.7601, 0.5209)
F (0.7484, 0.8060, 0.0337)
F (0.7443, 0.7181, 0.5208)
F (0.2514, 0.1946, 0.9656)
F (0.7528, 0.2344, 0.9501)
F (0.2555, 0.2826, 0.4788)
F (0.2467, 0.7664, 0.0494)

Record 9
## InPbBr5 (GGA-PBE)

Data for a relaxed structure of InPbBr5.

Values from the calculation:
Total moment = 0.00 μB/cell
Raw total energy = -2.925 eV/atom
Theoretical density = 3.970 Mg/m³
Fermi-level density of states = 0.0000 states/eV/atom
Space group = C2/c (15)
Formation energy (no corrections) = -0.809 eV per atom

abc: 7.8675 7.8692 11.0935
angles: 110.13 110.14 87.17
Fractional positions:
In (0.9028, 0.5973, 0.2500)
In (0.0972, 0.4027, 0.7500)
Pb (0.5000, 0.0000, 0.0000)
Pb (0.5000, 0.0000, 0.5000)
Br (0.7609, 0.6958, 0.0425)
Br (0.2499, 0.6421, 0.3355)
Br (0.4072, 0.0924, 0.2499)
Br (0.8042, 0.7394, 0.4574)
Br (0.1958, 0.2606, 0.5426)
Br (0.8577, 0.2502, 0.1648)
Br (0.1423, 0.7498, 0.8352)
Br (0.5928, 0.9076, 0.7501)
Br (0.7501, 0.3579, 0.6645)
Br (0.2391, 0.3042, 0.9575)

Record 10
## ReAg2Ir (GGA-PBE)

Data for a relaxed structure of ReAg2Ir.

Values from the calculation:
Total moment = 0.71 μB/cell
Raw total energy = -6.021 eV/atom
Theoretical density = 15.241 Mg/m³
Fermi-level density of states = 1.3239 states/eV/atom
Space group = I4/mmm (139)

abc: 5.2639 5.2639 5.2639
angles: 137.94 137.94 60.99
Site moments in Bohr magnetons follow the coordinates.
Fractional positions:
Re (0.7500, 0.2500, 0.5000)  0.52
Ir (0.2500, 0.7500, 0.5000)  0.08
Ag (0.0000, 0.0000, 0.0000)  0.03
Ag (0.5000, 0.5000, 0.0000)  0.03

Record 11
## Pu2TeNO (GGA-PBE)

Data for a relaxed structure of Pu2TeNO.

Values from the calculation:
Total moment = 18.00 μB/cell
Raw total energy = -10.898 eV/atom
Theoretical density = 10.909 Mg/m³
Fermi-level density of states = 2.0334 states/eV/atom
Space group = C2/m (12)
Formation energy (no corrections) = -1.880 eV per atom

abc: 3.9237 6.5166 8.4129
angles: 76.79 76.51 72.48
Site moments in Bohr magnetons follow the coordinates.
Fractional positions:
Pu (0.4659, 0.7690, 0.2992)  4.83
Pu (0.5341, 0.2310, 0.7008)  4.83
Pu (0.8403, 0.2547, 0.0647)  4.57
Pu (0.1597, 0.7453, 0.9353)  4.57
Te (0.8295, 0.7144, 0.6267)  -0.17
Te (0.1705, 0.2856, 0.3733)  -0.17
N (0.0346, 0.1040, 0.8267)  -0.26
N (0.9654, 0.8960, 0.1733)  -0.26
O (0.3476, 0.3679, 0.9368)  -0.15
O (0.6524, 0.6321, 0.0632)  -0.15

Record 12
## Mg4Al5 (GGA-PBE)

Data for a relaxed structure of Mg4Al5.

Values from the calculation:
Total moment = 0.00 μB/cell
Raw total energy = -2.708 eV/atom
Theoretical density = 2.221 Mg/m³
Fermi-level density of states = 0.3806 states/eV/atom
Space group = C2/m (12)

abc: 3.3228 7.4434 7.4141
angles: 86.95 77.05 76.25
Fractional positions:
Mg (0.0006, 0.6747, 0.3253)
Mg (0.9994, 0.3253, 0.6747)
Mg (0.6742, 0.3253, 0.3253)
Mg (0.3258, 0.6747, 0.6747)
Al (0.0000, 0.0000, 0.0000)
Al (0.6684, 0.0000, 0.6632)
Al (0.3316, 0.0000, 0.3368)
Al (0.6664, 0.6630, 0.0000)
Al (0.3336, 0.3370, 0.0000)